MgPaCd: optimized geometry, GGA-PBE.

Computed properties:
- Formation energy from the elements: 46 kJ/mol of formula units
- Density: 8.917 g/cm³
- Total magnetic moment: 0.000 μB/f.u.
- Density of states at the Fermi level: 7.6 states/eV/cell
- Polymorph energy (0 for the lowest one): 0.130 eV/atom

Cell: 15.3882 15.3882 15.3882 Å, 168.82 168.82 15.84°
Sites, in units of the cell vectors:
Mg: 0.1326 0.1326 0.0000
Mg: 0.8674 0.8674 0.0000
Pa: 0.4548 0.4548 0.0000
Pa: 0.5452 0.5452 0.0000
Cd: 0.2905 0.2905 0.0000
Cd: 0.7095 0.7095 0.0000

---

TeP2H: optimized geometry, GGA-PBE.

Computed properties:
- Density: 4.565 g/cm³
- Total magnetic moment: 0.000 μB/f.u.
- Density of states at the Fermi level: 3.9 states/eV/cell
- Polymorph energy (0 for the lowest one): 0.000 eV/atom

Cell: 7.2638 7.2638 7.2638 Å, 142.89 142.89 53.49°
Sites, in units of the cell vectors:
Te: 0.0000 0.0000 0.0000
Te: 0.7500 0.2500 0.5000
P: 0.3259 0.6250 0.2009
P: 0.3750 0.5759 0.7009
P: 0.4241 0.1250 0.7991
P: 0.8750 0.6741 0.2991
H: 0.2500 0.7500 0.5000
H: 0.5000 0.5000 0.0000

---

LaSbTeH: optimized geometry, GGA-PBE.

Computed properties:
- Density: 6.826 g/cm³
- Total magnetic moment: 0.000 μB/f.u.
- Density of states at the Fermi level: 2.1 states/eV/cell
- Polymorph energy (0 for the lowest one): 0.000 eV/atom

Cell: 4.2159 4.2879 5.9968 Å, 110.86 109.26 90.33°
Sites, in units of the cell vectors:
La: 0.0000 0.0000 0.0000
Sb: 0.6173 0.6926 0.3453
Te: 0.3712 0.3658 0.7073
H: 0.6032 0.2072 0.2211

---

LiEuBi: optimized geometry, GGA-PBE.

Computed properties:
- Formation energy from the elements: -233 kJ/mol of formula units
- Density: 7.307 g/cm³
- Total magnetic moment: 7.000 μB/f.u.
- Density of states at the Fermi level: 0.6 states/eV/cell

Cell: 7.9862 4.8915 8.5606 Å, 90.00 90.00 90.00°
Sites, in units of the cell vectors:
Li: 0.1634 0.2500 0.0766
Li: 0.3366 0.7500 0.5766
Li: 0.6634 0.2500 0.4234
Li: 0.8366 0.7500 0.9234
Eu: 0.0042 0.2500 0.7096
Eu: 0.4958 0.7500 0.2096
Eu: 0.5042 0.2500 0.7904
Eu: 0.9958 0.7500 0.2904
Bi: 0.2253 0.7500 0.9064
Bi: 0.2747 0.2500 0.4064
Bi: 0.7253 0.7500 0.5936
Bi: 0.7747 0.2500 0.0936